An optimized crystal structure of AlNi2F. Source: Alexandria via LeMat-Bulk, functional GGA+U.

Summary:
Fermi-level density of states   1.64 states/eV per cell
SG   Fm-3m, No. 225
Energy above the most stable polymorph in this dataset   411 meV/atom

abc: 5.638 5.638 5.638
angles: 90.00 90.00 90.00
Fractional coordinates of all 16 atoms:
Al 0.000 0.000 0.000
Al 0.000 0.500 0.500
Al 0.500 0.000 0.500
Al 0.500 0.500 0.000
Ni 0.250 0.250 0.250
Ni 0.250 0.250 0.750
Ni 0.250 0.750 0.250
Ni 0.250 0.750 0.750
Ni 0.750 0.250 0.250
Ni 0.750 0.250 0.750
Ni 0.750 0.750 0.250
Ni 0.750 0.750 0.750
F 0.000 0.000 0.500
F 0.000 0.500 0.000
F 0.500 0.000 0.000
F 0.500 0.500 0.500

An optimized crystal structure of AlNiF2. Source: Alexandria via LeMat-Bulk, functional GGA+U.

Summary:
Fermi-level density of states   0.73 states/eV per cell
SG   R-3m, No. 166
Energy above the most stable polymorph in this dataset   0 meV/atom

abc: 2.861 2.861 21.023
angles: 90.00 90.00 120.00
Fractional coordinates of all 12 atoms:
Al 0.000 0.000 0.000
Al 0.333 0.667 0.667
Al 0.667 0.333 0.333
Ni 0.000 0.000 0.500
Ni 0.333 0.667 0.167
Ni 0.667 0.333 0.833
F 0.000 0.000 0.088
F 0.000 0.000 0.912
F 0.333 0.667 0.579
F 0.333 0.667 0.755
F 0.667 0.333 0.245
F 0.667 0.333 0.421

An optimized crystal structure of AlNiF2. Source: Alexandria via LeMat-Bulk, functional GGA+U.

Summary:
Fermi-level density of states   3.70 states/eV per cell
SG   Fm-3m, No. 225
Energy above the most stable polymorph in this dataset   749 meV/atom

abc: 5.635 5.635 5.635
angles: 90.00 90.00 90.00
Fractional coordinates of all 16 atoms:
Al 0.000 0.000 0.000
Al 0.000 0.500 0.500
Al 0.500 0.000 0.500
Al 0.500 0.500 0.000
Ni 0.000 0.000 0.500
Ni 0.000 0.500 0.000
Ni 0.500 0.000 0.000
Ni 0.500 0.500 0.500
F 0.250 0.250 0.250
F 0.250 0.250 0.750
F 0.250 0.750 0.250
F 0.250 0.750 0.750
F 0.750 0.250 0.250
F 0.750 0.250 0.750
F 0.750 0.750 0.250
F 0.750 0.750 0.750

An optimized crystal structure of Al2NiF8. Source: Alexandria via LeMat-Bulk, functional GGA+U.

Summary:
Fermi-level density of states   0.00 states/eV per cell
SG   P-3m1, No. 164

abc: 5.566 5.566 6.230
angles: 90.00 90.00 120.00
Fractional coordinates of all 11 atoms:
Al 0.333 0.667 0.208
Al 0.667 0.333 0.792
Ni 0.000 0.000 0.500
F 0.169 0.339 0.313
F 0.169 0.831 0.313
F 0.333 0.667 0.940
F 0.339 0.169 0.687
F 0.661 0.831 0.313
F 0.667 0.333 0.060
F 0.831 0.169 0.687
F 0.831 0.661 0.687

An optimized crystal structure of AlNiF3. Source: Alexandria via LeMat-Bulk, functional GGA+U.

Summary:
Fermi-level density of states   0.00 states/eV per cell
SG   Pm-3m, No. 221
Energy above the most stable polymorph in this dataset   0 meV/atom

abc: 4.070 4.070 4.070
angles: 90.00 90.00 90.00
Fractional coordinates of all 5 atoms:
Al 0.000 0.000 0.000
Ni 0.500 0.500 0.500
F 0.000 0.500 0.500
F 0.500 0.000 0.500
F 0.500 0.500 0.000

An optimized crystal structure of Al3NiF. Source: Alexandria via LeMat-Bulk, functional GGA+U.

Summary:
Fermi-level density of states   3.90 states/eV per cell
SG   Pm-3m, No. 221
Energy above the most stable polymorph in this dataset   526 meV/atom

abc: 4.254 4.254 4.254
angles: 90.00 90.00 90.00
Fractional coordinates of all 5 atoms:
Al 0.000 0.000 0.500
Al 0.000 0.500 0.000
Al 0.500 0.000 0.000
Ni 0.500 0.500 0.500
F 0.000 0.000 0.000

An optimized crystal structure of AlNi2F. Source: Alexandria via LeMat-Bulk, functional GGA+U.

Summary:
Fermi-level density of states   1.67 states/eV per cell
SG   I-42d, No. 122
Energy above the most stable polymorph in this dataset   0 meV/atom

abc: 6.483 6.483 5.026
angles: 90.00 90.00 90.00
Fractional coordinates of all 16 atoms:
Al 0.000 0.000 0.000
Al 0.000 0.500 0.250
Al 0.500 0.000 0.750
Al 0.500 0.500 0.500
Ni 0.206 0.250 0.625
Ni 0.250 0.706 0.875
Ni 0.250 0.794 0.375
Ni 0.294 0.250 0.125
Ni 0.706 0.750 0.125
Ni 0.750 0.206 0.375
Ni 0.750 0.294 0.875
Ni 0.794 0.750 0.625
F 0.000 0.000 0.500
F 0.000 0.500 0.750
F 0.500 0.000 0.250
F 0.500 0.500 0.000

An optimized crystal structure of Al3NiF. Source: Alexandria via LeMat-Bulk, functional GGA+U.

Summary:
Fermi-level density of states   0.00 states/eV per cell
SG   Pm-3m, No. 221
Energy above the most stable polymorph in this dataset   0 meV/atom

abc: 4.424 4.424 4.424
angles: 90.00 90.00 90.00
Fractional coordinates of all 5 atoms:
Al 0.000 0.000 0.500
Al 0.000 0.500 0.000
Al 0.500 0.000 0.000
Ni 0.000 0.000 0.000
F 0.500 0.500 0.500

An optimized crystal structure of AlNiF3. Source: Alexandria via LeMat-Bulk, functional GGA+U.

Summary:
Fermi-level density of states   5.13 states/eV per cell
SG   Pm-3m, No. 221
Energy above the most stable polymorph in this dataset   42 meV/atom

abc: 3.832 3.832 3.832
angles: 90.00 90.00 90.00
Fractional coordinates of all 5 atoms:
Al 0.000 0.000 0.000
Ni 0.500 0.500 0.500
F 0.000 0.000 0.500
F 0.000 0.500 0.000
F 0.500 0.000 0.000

An optimized crystal structure of AlNi3F. Source: Alexandria via LeMat-Bulk, functional GGA+U.

Summary:
Fermi-level density of states   7.50 states/eV per cell
SG   Pm-3m, No. 221
Energy above the most stable polymorph in this dataset   1270 meV/atom

abc: 4.307 4.307 4.307
angles: 90.00 90.00 90.00
Fractional coordinates of all 5 atoms:
Al 0.000 0.000 0.000
Ni 0.000 0.000 0.500
Ni 0.000 0.500 0.000
Ni 0.500 0.000 0.000
F 0.500 0.500 0.500

An optimized crystal structure of AlNiF6. Source: Alexandria via LeMat-Bulk, functional GGA+U.

Summary:
SG   P-31c, No. 163

abc: 4.790 4.790 8.737
angles: 90.00 90.00 120.00
Fractional coordinates of all 16 atoms:
Al 0.333 0.667 0.250
Al 0.667 0.333 0.750
Ni 0.000 0.000 0.000
Ni 0.000 0.000 0.500
F 0.037 0.344 0.127
F 0.037 0.693 0.373
F 0.307 0.344 0.373
F 0.307 0.963 0.127
F 0.344 0.037 0.627
F 0.344 0.307 0.873
F 0.656 0.693 0.127
F 0.656 0.963 0.373
F 0.693 0.037 0.873
F 0.693 0.656 0.627
F 0.963 0.307 0.627
F 0.963 0.656 0.873

An optimized crystal structure of AlNi3F. Source: Alexandria via LeMat-Bulk, functional GGA+U.

Summary:
Fermi-level density of states   0.90 states/eV per cell
SG   Pm-3m, No. 221
Energy above the most stable polymorph in this dataset   0 meV/atom

abc: 4.076 4.076 4.076
angles: 90.00 90.00 90.00
Fractional coordinates of all 5 atoms:
Al 0.000 0.000 0.000
Ni 0.000 0.500 0.500
Ni 0.500 0.000 0.500
Ni 0.500 0.500 0.000
F 0.500 0.500 0.500

An optimized crystal structure of AlNiO2F. Source: Alexandria via LeMat-Bulk, functional GGA+U.

Summary:
Fermi-level density of states   1.16 states/eV per cell
SG   P4/mmm, No. 123

abc: 3.837 3.837 3.693
angles: 90.00 90.00 90.00
Fractional coordinates of all 5 atoms:
Al 0.000 0.000 0.000
Ni 0.500 0.500 0.500
O 0.000 0.500 0.500
O 0.500 0.000 0.500
F 0.500 0.500 0.000

An optimized crystal structure of AlNiOF2. Source: Alexandria via LeMat-Bulk, functional GGA+U.

Summary:
Fermi-level density of states   0.00 states/eV per cell
SG   P4/mmm, No. 123
Energy above the most stable polymorph in this dataset   0 meV/atom

abc: 3.724 3.724 3.674
angles: 90.00 90.00 90.00
Fractional coordinates of all 5 atoms:
Al 0.000 0.000 0.000
Ni 0.500 0.500 0.500
O 0.000 0.000 0.500
F 0.000 0.500 0.000
F 0.500 0.000 0.000

An optimized crystal structure of AlNiOF2. Source: Alexandria via LeMat-Bulk, functional GGA+U.

Summary:
Fermi-level density of states   1.78 states/eV per cell
SG   P4/mmm, No. 123
Energy above the most stable polymorph in this dataset   817 meV/atom

abc: 3.825 3.825 4.155
angles: 90.00 90.00 90.00
Fractional coordinates of all 5 atoms:
Al 0.000 0.000 0.000
Ni 0.500 0.500 0.500
O 0.500 0.500 0.000
F 0.000 0.500 0.500
F 0.500 0.000 0.500

An optimized crystal structure of AlNiO2F. Source: Alexandria via LeMat-Bulk, functional GGA+U.

Summary:
Fermi-level density of states   0.06 states/eV per cell
SG   P4/mmm, No. 123

abc: 3.722 3.722 3.547
angles: 90.00 90.00 90.00
Fractional coordinates of all 5 atoms:
Al 0.000 0.000 0.000
Ni 0.500 0.500 0.500
O 0.000 0.500 0.000
O 0.500 0.000 0.000
F 0.000 0.000 0.500

An optimized crystal structure of Al2NiOsF. Source: Alexandria via LeMat-Bulk, functional GGA+U.

Summary:
Fermi-level density of states   4.26 states/eV per cell
SG   P4/mmm, No. 123

abc: 4.771 4.771 3.949
angles: 90.00 90.00 90.00
Fractional coordinates of all 5 atoms:
Al 0.000 0.500 0.000
Al 0.500 0.000 0.000
Ni 0.000 0.000 0.500
Os 0.500 0.500 0.000
F 0.500 0.500 0.500

An optimized crystal structure of Rb2Al3NiF12. Source: Alexandria via LeMat-Bulk, functional GGA+U.

Summary:
Fermi-level density of states   6.57 states/eV per cell
SG   R-3m, No. 166

abc: 7.214 7.214 7.214
angles: 58.98 58.98 58.98
Fractional coordinates of all 18 atoms:
Rb 0.126 0.126 0.126
Rb 0.874 0.874 0.874
Al 0.000 0.500 0.500
Al 0.500 0.000 0.500
Al 0.500 0.500 0.000
Ni 0.500 0.500 0.500
F 0.132 0.584 0.584
F 0.199 0.199 0.575
F 0.199 0.575 0.199
F 0.416 0.416 0.868
F 0.416 0.868 0.416
F 0.425 0.801 0.801
F 0.575 0.199 0.199
F 0.584 0.132 0.584
F 0.584 0.584 0.132
F 0.801 0.425 0.801
F 0.801 0.801 0.425
F 0.868 0.416 0.416

An optimized crystal structure of RbAl2NiF8. Source: Alexandria via LeMat-Bulk, functional GGA+U.

Summary:
Fermi-level density of states   5.59 states/eV per cell
SG   R-3, No. 148

abc: 8.596 8.596 8.596
angles: 36.16 36.16 36.16
Fractional coordinates of all 12 atoms:
Rb 0.000 0.000 0.000
Al 0.239 0.239 0.239
Al 0.761 0.761 0.761
Ni 0.500 0.500 0.500
F 0.099 0.761 0.483
F 0.239 0.517 0.901
F 0.310 0.310 0.310
F 0.483 0.099 0.761
F 0.517 0.901 0.239
F 0.690 0.690 0.690
F 0.761 0.483 0.099
F 0.901 0.239 0.517

An optimized crystal structure of Rb2AlNiF6. Source: Alexandria via LeMat-Bulk, functional GGA+U.

Summary:
Fermi-level density of states   0.00 states/eV per cell
SG   I4/mmm, No. 139

abc: 5.849 5.849 5.849
angles: 117.15 117.15 95.00
Fractional coordinates of all 10 atoms:
Rb 0.250 0.750 0.500
Rb 0.750 0.250 0.500
Al 0.000 0.000 0.000
Ni 0.500 0.500 0.000
F 0.213 0.213 0.425
F 0.213 0.787 0.000
F 0.237 0.237 0.000
F 0.763 0.763 0.000
F 0.787 0.213 0.000
F 0.787 0.787 0.575

An optimized crystal structure of AlTc2NiF. Source: Alexandria via LeMat-Bulk, functional GGA+U.

Summary:
Fermi-level density of states   5.57 states/eV per cell
SG   P4/mmm, No. 123

abc: 4.306 4.306 3.665
angles: 90.00 90.00 90.00
Fractional coordinates of all 5 atoms:
Al 0.000 0.000 0.000
Tc 0.000 0.500 0.500
Tc 0.500 0.000 0.500
Ni 0.500 0.500 0.000
F 0.000 0.000 0.500

An optimized crystal structure of AlTl2NiF6. Source: Alexandria via LeMat-Bulk, functional GGA+U.

Summary:
SG   Pmmn, No. 59

abc: 5.568 9.882 5.568
angles: 90.00 90.00 90.00
Fractional coordinates of all 20 atoms:
Al 0.250 0.250 0.249
Al 0.750 0.750 0.751
Tl 0.250 0.000 0.750
Tl 0.250 0.500 0.750
Tl 0.750 0.000 0.250
Tl 0.750 0.500 0.250
Ni 0.250 0.750 0.251
Ni 0.750 0.250 0.749
F 0.015 0.250 0.014
F 0.015 0.250 0.484
F 0.250 0.066 0.249
F 0.250 0.434 0.249
F 0.485 0.250 0.014
F 0.485 0.250 0.484
F 0.515 0.750 0.516
F 0.515 0.750 0.986
F 0.750 0.566 0.751
F 0.750 0.934 0.751
F 0.985 0.750 0.516
F 0.985 0.750 0.986

An optimized crystal structure of AlTlNiF6. Source: Alexandria via LeMat-Bulk, functional GGA+U.

Summary:
Fermi-level density of states   0.00 states/eV per cell
SG   C2, No. 5

abc: 5.207 5.207 6.104
angles: 90.05 90.05 119.97
Fractional coordinates of all 9 atoms:
Al 0.000 0.000 0.000
Tl 0.333 0.667 0.500
Ni 0.667 0.333 0.000
F 0.305 0.274 0.829
F 0.306 0.031 0.171
F 0.725 0.030 0.829
F 0.726 0.695 0.171
F 0.969 0.694 0.829
F 0.970 0.275 0.171

| no. | total DFT energy (no corrections) (Ry/atom) | magnetization (μB/atom) |
| --- | --- | --- |
| 1 | -0.1751 | 0.0000 |
| 2 | -0.2824 | 0.2285 |
| 3 | -0.2273 | 0.0000 |
| 4 | -0.3929 | 0.1926 |
| 5 | -0.3011 | 0.4000 |
| 6 | -0.2153 | 0.2157 |
| 7 | -0.2054 | 0.4964 |
| 8 | -0.2540 | 0.0000 |
| 9 | -0.2981 | 0.1629 |
| 10 | -0.0929 | 0.1585 |
| 11 | -0.3494 | 0.3812 |
| 12 | -0.1863 | 0.5958 |
| 13 | -0.3337 | 0.3195 |
| 14 | -0.3752 | 0.2000 |
| 15 | -0.3151 | 0.4223 |
| 16 | -0.3986 | 0.4008 |
| 17 | -0.2976 | 0.0000 |
| 18 | -0.3823 | 0.0780 |
| 19 | -0.3688 | 0.1212 |
| 20 | -0.3474 | 0.1000 |
| 21 | -0.3624 | 0.0000 |
| 22 | -0.3382 | 0.1000 |
| 23 | -0.3635 | 0.2189 |